Record 1
## In2SeBr (SCAN)

Data for a crystal of In2SeBr relaxed with PBEsol.

The space group is P4/mmm (No. 123) and the conventional cell measures 4.289, 4.289 and 6.102 Å, with angles of 90.00, 90.00 and 90.00 degrees. The distinct sites, in fractional coordinates, are In at (0.000, 0.000, 0.000), In at (0.500, 0.500, 0.500), Se at (0.000, 0.000, 0.500) and Br at (0.500, 0.500, 0.000).

Its crystal system is tetragonal. The value obtained for the total energy is -27.009 eV/atom. As for the mass density: 5.75 g cm⁻³. The calculation puts the formation energy without anion corrections at -41.6 kJ/mol of atoms.

Record 2
## BaTeSeN2 (SCAN)

Data for a crystal of BaTeSeN2 relaxed with PBEsol.

The space group is P4/mmm (No. 123) and the conventional cell measures 4.405, 4.405 and 7.278 Å, with angles of 90.00, 90.00 and 90.00 degrees. The distinct sites, in fractional coordinates, are Ba at (0.000, 0.000, 0.000), Te at (0.000, 0.000, 0.500), Se at (0.500, 0.500, 0.500) and N at (0.000, 0.500, 0.000).

Its crystal system is tetragonal. The value obtained for the total energy is -21.514 eV/atom. As for the mass density: 4.37 g cm⁻³. The calculation puts the formation energy without anion corrections at 152.3 kJ/mol of atoms.

Record 3
## CdAu2Cl (SCAN)

Data for a crystal of CdAu2Cl relaxed with PBEsol.

The space group is I4/mmm (No. 139) and the conventional cell measures 3.830, 3.830 and 10.623 Å, with angles of 90.00, 90.00 and 90.00 degrees. The distinct sites, in fractional coordinates, are Cd at (0.000, 0.000, 0.000), Au at (0.000, 0.500, 0.250) and Cl at (0.000, 0.000, 0.500).

Its crystal system is tetragonal. The value obtained for the total energy is -44.312 eV/atom. As for the mass density: 11.55 g cm⁻³. The calculation puts the formation energy without anion corrections at -13.0 kJ/mol of atoms.

Record 4
## MgTl3F (SCAN)

Data for a crystal of MgTl3F relaxed with PBEsol.

The space group is Pm-3m (No. 221) and the conventional cell measures 5.089, 5.089 and 5.089 Å, with angles of 90.00, 90.00 and 90.00 degrees. The distinct sites, in fractional coordinates, are Mg at (0.000, 0.000, 0.000), Tl at (0.000, 0.500, 0.500) and F at (0.500, 0.500, 0.500).

Its crystal system is cubic. The value obtained for the total energy is -45.633 eV/atom. As for the mass density: 8.27 g cm⁻³. The calculation puts the formation energy without anion corrections at -49.7 kJ/mol of atoms.

Record 5
## SrCd (SCAN)

Data for a crystal of SrCd relaxed with PBEsol.

The space group is Imma (No. 74) and the conventional cell measures 3.890, 5.626 and 11.474 Å, with angles of 90.00, 90.00 and 90.00 degrees. The distinct sites, in fractional coordinates, are Sr at (0.000, 0.250, 0.100) and Cd at (0.000, 0.250, 0.655).

Its crystal system is orthorhombic. For the energy of formation from the pure elements, the calculation gives -312.5 meV per atom. The value obtained for the total energy is -26.657 eV/atom. As for the mass density: 5.29 g cm⁻³.

Record 6
## Dy6Al43Cr4 (SCAN)

Data for a crystal of Dy6Al43Cr4 relaxed with PBEsol.

The space group is P6_3/mcm (No. 193) and the conventional cell measures 10.8025, 10.8025 and 17.4955 Å, with angles of 90.00, 90.00 and 120.00 degrees. The distinct sites, in fractional coordinates, are Dy at (0.0000, 0.4691, 0.0949), Al at (0.0000, 0.1454, 0.7500), Al at (0.0000, 0.1558, 0.1156), Al at (0.0000, 0.2501, 0.5299), Al at (0.1444, 0.5459, 0.2500), Al at (0.1580, 0.3910, 0.6655), Al at (0.2468, 0.4935, 0.0000), Al at (0.3333, 0.6667, 0.1268), Cr at (0.0000, 0.0000, 0.0000) and Cr at (0.0000, 0.2673, 0.2500).

Its crystal system is hexagonal. For the energy of formation from the pure elements, the calculation gives -302.5 meV per atom. The value obtained for the total energy is -13.390 eV/atom. As for the mass density: 4.40 g cm⁻³.

Record 7
## ScGa4Fe3Co8 (SCAN)

Data for a crystal of ScGa4Fe3Co8 relaxed with PBEsol.

The space group is R-3m (No. 166, hexagonal axes) and the conventional cell measures 4.0168, 4.0168 and 39.5618 Å, with angles of 90.00, 90.00 and 120.00 degrees. The distinct sites, in fractional coordinates, are Sc at (0.0000, 0.0000, 0.0000), Ga at (0.0000, 0.0000, 0.1261), Ga at (0.0000, 0.0000, 0.3768), Fe at (0.0000, 0.0000, 0.2487), Fe at (0.0000, 0.0000, 0.5000), Co at (0.0000, 0.0000, 0.0654), Co at (0.0000, 0.0000, 0.1873), Co at (0.0000, 0.0000, 0.3096) and Co at (0.0000, 0.0000, 0.4387).

Its crystal system is trigonal. For the energy of formation from the pure elements, the calculation gives -299.4 meV per atom. The value obtained for the total energy is -17.327 eV/atom. As for the mass density: 8.68 g cm⁻³.

Record 8
## PPdPt2 (SCAN)

Data for a crystal of PPdPt2 relaxed with PBEsol.

The space group is I-42d (No. 122) and the conventional cell measures 6.897, 6.897 and 5.078 Å, with angles of 90.00, 90.00 and 90.00 degrees. The distinct sites, in fractional coordinates, are P at (0.000, 0.000, 0.000), Pd at (0.000, 0.000, 0.500) and Pt at (0.197, 0.750, 0.125).

Its crystal system is tetragonal. For the energy of formation from the pure elements, the calculation gives -372.0 meV per atom. The value obtained for the total energy is -46.262 eV/atom. As for the mass density: 14.51 g cm⁻³.

Record 9
## SrCrP2O (SCAN)

Data for a crystal of SrCrP2O relaxed with PBEsol.

The space group is P4/mmm (No. 123) and the conventional cell measures 5.332, 5.332 and 4.252 Å, with angles of 90.00, 90.00 and 90.00 degrees. The distinct sites, in fractional coordinates, are Sr at (0.000, 0.000, 0.000), Cr at (0.500, 0.500, 0.500), P at (0.000, 0.500, 0.000) and O at (0.000, 0.000, 0.500).

Its crystal system is tetragonal. The value obtained for the total energy is -12.716 eV/atom. As for the mass density: 2.99 g cm⁻³. The calculation puts the formation energy without anion corrections at 79.2 kJ/mol of atoms.

Record 10
## ScRuPt2 (SCAN)

Data for a crystal of ScRuPt2 relaxed with PBEsol.

The space group is R-3m (No. 166, hexagonal axes) and the conventional cell measures 2.8047, 2.8047 and 27.0212 Å, with angles of 90.00, 90.00 and 120.00 degrees. The distinct sites, in fractional coordinates, are Sc at (0.0000, 0.0000, 0.0000), Ru at (0.0000, 0.0000, 0.5000) and Pt at (0.0000, 0.0000, 0.2482).

Its crystal system is trigonal. For the energy of formation from the pure elements, the calculation gives -212.2 meV per atom. The value obtained for the total energy is -47.575 eV/atom. As for the mass density: 14.51 g cm⁻³.

Record 11
## NiPtCl2 (SCAN)

Data for a crystal of NiPtCl2 relaxed with PBEsol.

The space group is Immm (No. 71) and the conventional cell measures 2.938, 5.653 and 7.594 Å, with angles of 90.00, 90.00 and 90.00 degrees. The distinct sites, in fractional coordinates, are Ni at (0.000, 0.000, 0.000), Pt at (0.000, 0.000, 0.500) and Cl at (0.000, 0.500, 0.278).

Its crystal system is orthorhombic. The value obtained for the total energy is -25.268 eV/atom. As for the mass density: 8.55 g cm⁻³. The calculation puts the formation energy without anion corrections at 30.1 kJ/mol of atoms.

Record 12
## CoPtRh2 (SCAN)

Data for a crystal of CoPtRh2 relaxed with PBEsol.

The space group is P2/m (No. 10) and the conventional cell measures 4.589, 2.660 and 4.605 Å, with angles of 90.00, 109.44 and 90.00 degrees. The distinct sites, in fractional coordinates, are Co at (0.000, 0.000, 0.000), Pt at (0.500, 0.500, 0.000), Rh at (0.000, 0.500, 0.500) and Rh at (0.500, 0.000, 0.500).

Its crystal system is monoclinic. For the energy of formation from the pure elements, the calculation gives -56.7 meV per atom. The value obtained for the total energy is -38.817 eV/atom. As for the mass density: 14.40 g cm⁻³.